Record 1
ErZr2Fe9: relaxed, GGA-PBE.

Calculated values
The magnetization is 16.32 μB/cell. As for the calculated total energy: -8.3509 eV per atom. As for the space group: R-3m (166). For the formation energy, the calculation gives -0.199 eV/atom.

a = 8.4709 Å, b = 8.4709 Å, c = 8.4709 Å
α = 34.23°, β = 34.23°, γ = 34.23°
Positions (direct):
Er: 0.0000 0.0000 0.0000
Zr: 0.1423 0.1423 0.1423
Zr: 0.8577 0.8577 0.8577
Fe: 0.0823 0.5849 0.5849
Fe: 0.3328 0.3328 0.3328
Fe: 0.4151 0.4151 0.9177
Fe: 0.4151 0.9177 0.4151
Fe: 0.5000 0.5000 0.5000
Fe: 0.5849 0.0823 0.5849
Fe: 0.5849 0.5849 0.0823
Fe: 0.6672 0.6672 0.6672
Fe: 0.9177 0.4151 0.4151

=====

Record 2
Er2Ga3: relaxed, GGA-PBE.

Calculated values
The magnetization is 0.05 μB/cell. As for the calculated total energy: -4.2560 eV per atom. As for the space group: Cmcm (63). For the formation energy, the calculation gives -0.615 eV/atom.

a = 12.9005 Å, b = 12.9005 Å, c = 4.1469 Å
α = 90.00°, β = 90.00°, γ = 161.61°
Positions (direct):
Er: 0.0726 0.9274 0.7500
Er: 0.2044 0.7956 0.2500
Er: 0.7956 0.2044 0.7500
Er: 0.9274 0.0726 0.2500
Ga: 0.3238 0.6762 0.2500
Ga: 0.3805 0.6195 0.7500
Ga: 0.4759 0.5241 0.7500
Ga: 0.5241 0.4759 0.2500
Ga: 0.6195 0.3805 0.2500
Ga: 0.6762 0.3238 0.7500

=====

Record 3
Er5Ga3: relaxed, GGA-PBE.

Calculated values
The magnetization is 0.00 μB/cell. As for the calculated total energy: -4.4767 eV per atom. As for the space group: I4/mcm (140). For the formation energy, the calculation gives -0.490 eV/atom. As for the offset from the most stable computed form: 9 meV per atom.

a = 8.6886 Å, b = 8.6886 Å, c = 8.6886 Å
α = 96.57°, β = 96.57°, γ = 140.47°
Positions (direct):
Er: 0.0840 0.7864 0.8703
Er: 0.2136 0.0840 0.2976
Er: 0.2500 0.7500 0.5000
Er: 0.2864 0.5840 0.8703
Er: 0.4160 0.2864 0.7024
Er: 0.5840 0.7136 0.2976
Er: 0.7136 0.4160 0.1297
Er: 0.7500 0.2500 0.5000
Er: 0.7864 0.9160 0.7024
Er: 0.9160 0.2136 0.1297
Ga: 0.1596 0.3404 0.5000
Ga: 0.2500 0.2500 0.0000
Ga: 0.3404 0.8404 0.1807
Ga: 0.6596 0.1596 0.8193
Ga: 0.7500 0.7500 0.0000
Ga: 0.8404 0.6596 0.5000